A plane-wave DFT calculation with GGA-PBE was carried out for an optimized crystal structure of LaPrMgPa.

calculated total energy	-4.861	eV/atom
Fermi-level density of states	8.6	states/eV/cell
ΔE_f	0.339	eV per atom

```
4
Lattice="5.544 0.000 0.000 2.772 4.801 0.000 2.772 1.600 4.527" Properties=species:S:1:pos:R:3 pbc="T T T"
Pr 2.772 1.600 1.132
La 8.316 4.801 3.395
Pa 5.544 3.201 2.263
Mg 0.000 0.000 0.000
```